1.
# Co2RhBr | the Alexandria database | PBE | optimized geometry
data_Co2RhBr
_cell_length_a 4.346
_cell_length_b 4.346
_cell_length_c 4.346
_cell_angle_alpha 60.00
_cell_angle_beta 60.00
_cell_angle_gamma 60.00
_symmetry_space_group_name_H-M 'P 1'
_symmetry_Int_Tables_number 1
loop_
_symmetry_equiv_pos_as_xyz
'x,y,z'
loop_
_atom_site_label
_atom_site_type_symbol
_atom_site_fract_x
_atom_site_fract_y
_atom_site_fract_z
Rh1 Rh 0.500 0.500 0.500
Co1 Co 0.750 0.750 0.750
Co2 Co 0.250 0.250 0.250
Br1 Br 0.000 0.000 0.000
# SG   No. 225
# Energy above the lowest structure with this stoichiometry   344.1 meV per atom
# Formation energy without anion corrections   0.77 eV per atom



2.
# MgPb2Au | the Alexandria database | PBE | optimized geometry
data_MgPb2Au
_cell_length_a 5.479
_cell_length_b 6.224
_cell_length_c 3.558
_cell_angle_alpha 73.89
_cell_angle_beta 88.90
_cell_angle_gamma 115.77
_symmetry_space_group_name_H-M 'P 1'
_symmetry_Int_Tables_number 1
loop_
_symmetry_equiv_pos_as_xyz
'x,y,z'
loop_
_atom_site_label
_atom_site_type_symbol
_atom_site_fract_x
_atom_site_fract_y
_atom_site_fract_z
Au1 Au 0.000 0.500 0.500
Mg1 Mg 0.500 0.500 0.000
Pb1 Pb 0.500 0.000 0.500
Pb2 Pb 0.000 0.000 0.000
# SG   No. 12
# E_form   -3.3 meV per atom



3.
# TbMnOs | the Alexandria database | PBE | optimized geometry
data_TbMnOs
_cell_length_a 3.106
_cell_length_b 3.783
_cell_length_c 4.867
_cell_angle_alpha 90.00
_cell_angle_beta 90.00
_cell_angle_gamma 90.00
_symmetry_space_group_name_H-M 'P 1'
_symmetry_Int_Tables_number 1
loop_
_symmetry_equiv_pos_as_xyz
'x,y,z'
loop_
_atom_site_label
_atom_site_type_symbol
_atom_site_fract_x
_atom_site_fract_y
_atom_site_fract_z
Mn1 Mn 0.500 0.000 0.500
Tb1 Tb 0.000 0.000 0.000
Os1 Os 0.000 0.500 0.500
# SG   No. 47
# Energy above the lowest structure with this stoichiometry   545.2 meV per atom
# E_form   352.3 meV per atom



4.
# VS2Br | the Alexandria database | PBE | optimized geometry
data_VS2Br
_cell_length_a 4.572
_cell_length_b 4.572
_cell_length_c 4.572
_cell_angle_alpha 60.00
_cell_angle_beta 60.00
_cell_angle_gamma 60.00
_symmetry_space_group_name_H-M 'P 1'
_symmetry_Int_Tables_number 1
loop_
_symmetry_equiv_pos_as_xyz
'x,y,z'
loop_
_atom_site_label
_atom_site_type_symbol
_atom_site_fract_x
_atom_site_fract_y
_atom_site_fract_z
Br1 Br 0.500 0.500 0.500
V1 V 0.000 0.000 0.000
S1 S 0.750 0.750 0.750
S2 S 0.250 0.250 0.250
# SG   No. 225
# Energy above the lowest structure with this stoichiometry   1086.9 meV per atom
# Formation energy without anion corrections   0.52 eV per atom



5.
# BaYRe2I | the Alexandria database | PBE | optimized geometry
data_BaYRe2I
_cell_length_a 5.058
_cell_length_b 7.169
_cell_length_c 5.058
_cell_angle_alpha 90.00
_cell_angle_beta 90.00
_cell_angle_gamma 90.00
_symmetry_space_group_name_H-M 'P 1'
_symmetry_Int_Tables_number 1
loop_
_symmetry_equiv_pos_as_xyz
'x,y,z'
loop_
_atom_site_label
_atom_site_type_symbol
_atom_site_fract_x
_atom_site_fract_y
_atom_site_fract_z
Ba1 Ba 0.000 0.500 0.000
Re1 Re 0.000 0.000 0.500
Re2 Re 0.500 0.000 0.000
I1 I 0.500 0.500 0.500
Y1 Y 0.000 0.000 0.000
# SG   No. 123
# Formation energy without anion corrections   1.78 eV per atom



6.
# Mg5Fe2Pd12 | the Alexandria database | PBE | optimized geometry
data_Mg5Fe2Pd12
_cell_length_a 7.519
_cell_length_b 7.328
_cell_length_c 6.444
_cell_angle_alpha 90.13
_cell_angle_beta 90.00
_cell_angle_gamma 120.87
_symmetry_space_group_name_H-M 'P 1'
_symmetry_Int_Tables_number 1
loop_
_symmetry_equiv_pos_as_xyz
'x,y,z'
loop_
_atom_site_label
_atom_site_type_symbol
_atom_site_fract_x
_atom_site_fract_y
_atom_site_fract_z
Mg1 Mg 0.000 0.000 0.500
Mg2 Mg 0.760 0.519 0.428
Mg3 Mg 0.701 0.401 0.982
Mg4 Mg 0.299 0.599 0.018
Mg5 Mg 0.240 0.481 0.572
Pd1 Pd 0.822 0.246 0.660
Pd2 Pd 0.446 0.892 0.695
Pd3 Pd 0.554 0.108 0.305
Pd4 Pd 0.034 0.695 0.755
Pd5 Pd 0.178 0.754 0.340
Pd6 Pd 0.092 0.185 0.890
Pd7 Pd 0.339 0.305 0.245
Pd8 Pd 0.966 0.305 0.245
Pd9 Pd 0.908 0.815 0.110
Pd10 Pd 0.576 0.754 0.340
Pd11 Pd 0.661 0.695 0.755
Pd12 Pd 0.424 0.246 0.660
Fe1 Fe 0.702 0.000 0.000
Fe2 Fe 0.298 0.000 0.000
# SG   No. 12
# E_form   -364.6 meV per atom



Summary of total magnetic moment in μB/cell
4.6; 0.0; 0.0; 1.0; 3.6; 7.3
(order as listed above)